Version P
! ScPaPd, relaxed, DFT PBE; values from VASP
&SYSTEM
  ibrav = 0, nat = 3, ntyp = 3
/
ATOMIC_SPECIES
Sc 44.96 Sc.upf
Pa 231.04 Pa.upf
Pd 106.42 Pd.upf
CELL_PARAMETERS angstrom
-1.610 1.610 6.213
1.610 -1.610 6.213
1.610 1.610 -6.213
ATOMIC_POSITIONS crystal
Sc 0.000 0.000 0.000
Pa 0.697 0.697 0.000
Pd 0.365 0.365 0.000
! Mass density in g cm⁻³: 9.86
! Space-group type: I4mm (107)

=====

Version Q
! ScPaPd, relaxed, DFT PBE; values from VASP
&SYSTEM
  ibrav = 0, nat = 6, ntyp = 3
/
ATOMIC_SPECIES
Sc 44.96 Sc.upf
Pa 231.04 Pa.upf
Pd 106.42 Pd.upf
CELL_PARAMETERS angstrom
3.198 0.000 0.000
-1.599 2.770 0.000
0.000 0.000 14.422
ATOMIC_POSITIONS crystal
Sc 0.000 0.000 0.189
Sc 0.000 0.000 0.811
Pa 0.000 0.000 0.500
Pa 0.667 0.333 0.000
Pd 0.667 0.333 0.333
Pd 0.667 0.333 0.667
! Mass density in g cm⁻³: 9.94
! Space-group type: P-6m2 (187)

=====

Q: Which of them is the least stable? A: version Q.

=====

Version P
! PaPdSe2, relaxed, DFT PBE; values from VASP
&SYSTEM
  ibrav = 0, nat = 4, ntyp = 3
/
ATOMIC_SPECIES
Pa 231.04 Pa.upf
Pd 106.42 Pd.upf
Se 78.96 Se.upf
CELL_PARAMETERS angstrom
2.120 1.224 7.228
-2.120 1.224 7.228
0.000 -2.448 7.228
ATOMIC_POSITIONS crystal
Pa 0.000 0.000 0.000
Pd 0.735 0.735 0.735
Se 0.261 0.261 0.261
Se 0.431 0.431 0.431
! Mass density in g cm⁻³: 7.31
! Space-group type: R3m (160)

=====

Version Q
! PaPdSe2, relaxed, DFT PBE; values from VASP
&SYSTEM
  ibrav = 0, nat = 4, ntyp = 3
/
ATOMIC_SPECIES
Pa 231.04 Pa.upf
Pd 106.42 Pd.upf
Se 78.96 Se.upf
CELL_PARAMETERS angstrom
2.101 1.213 7.829
-2.101 1.213 7.829
0.000 -2.427 7.829
ATOMIC_POSITIONS crystal
Pa 0.000 0.000 0.000
Pd 0.500 0.500 0.500
Se 0.398 0.398 0.398
Se 0.602 0.602 0.602
! Mass density in g cm⁻³: 6.87
! Space-group type: R-3m (166)

=====

Q: Which of them is the least stable? A: version Q.

=====

Version P
! PaPdSe2, relaxed, DFT PBE; values from VASP
&SYSTEM
  ibrav = 0, nat = 8, ntyp = 3
/
ATOMIC_SPECIES
Pa 231.04 Pa.upf
Pd 106.42 Pd.upf
Se 78.96 Se.upf
CELL_PARAMETERS angstrom
4.782 0.000 0.000
0.000 6.948 0.000
0.000 0.000 4.994
ATOMIC_POSITIONS crystal
Pa 0.000 0.246 0.000
Pa 0.500 0.754 0.500
Pd 0.000 0.709 0.919
Pd 0.500 0.291 0.419
Se 0.000 0.475 0.502
Se 0.000 0.992 0.520
Se 0.500 0.008 0.020
Se 0.500 0.525 0.002
! Mass density in g cm⁻³: 9.92
! Space-group type: Pmn2_1 (31)

=====

Version Q
! PaPdSe2, relaxed, DFT PBE; values from VASP
&SYSTEM
  ibrav = 0, nat = 4, ntyp = 3
/
ATOMIC_SPECIES
Pa 231.04 Pa.upf
Pd 106.42 Pd.upf
Se 78.96 Se.upf
CELL_PARAMETERS angstrom
4.616 0.000 0.000
0.000 4.616 0.000
0.000 0.000 3.685
ATOMIC_POSITIONS crystal
Pa 0.000 0.000 0.000
Pd 0.500 0.500 0.000
Se 0.000 0.500 0.500
Se 0.500 0.000 0.500
! Mass density in g cm⁻³: 10.47
! Space-group type: P4/mmm (123)

=====

Q: Which of them is the least stable? A: version Q.

=====

Version P
! PaPd2Se3, relaxed, DFT PBE; values from VASP
&SYSTEM
  ibrav = 0, nat = 12, ntyp = 3
/
ATOMIC_SPECIES
Pa 231.04 Pa.upf
Pd 106.42 Pd.upf
Se 78.96 Se.upf
CELL_PARAMETERS angstrom
6.464 0.000 0.000
0.000 4.278 0.000
-0.988 0.000 10.590
ATOMIC_POSITIONS crystal
Pa 0.055 0.250 0.176
Pa 0.945 0.750 0.824
Pd 0.018 0.250 0.586
Pd 0.358 0.750 0.037
Pd 0.642 0.250 0.963
Pd 0.982 0.750 0.414
Se 0.207 0.750 0.629
Se 0.219 0.250 0.929
Se 0.301 0.750 0.272
Se 0.699 0.250 0.728
Se 0.781 0.750 0.071
Se 0.793 0.250 0.371
! Mass density in g cm⁻³: 7.72
! Space-group type: P2_1/m (11)

=====

Version Q
! PaPd2Se3, relaxed, DFT PBE; values from VASP
&SYSTEM
  ibrav = 0, nat = 12, ntyp = 3
/
ATOMIC_SPECIES
Pa 231.04 Pa.upf
Pd 106.42 Pd.upf
Se 78.96 Se.upf
CELL_PARAMETERS angstrom
6.634 0.000 0.000
0.000 4.204 0.000
-0.470 0.000 10.309
ATOMIC_POSITIONS crystal
Pa 0.209 0.250 0.323
Pa 0.791 0.750 0.677
Pd 0.033 0.750 0.090
Pd 0.421 0.250 0.573
Pd 0.579 0.750 0.427
Pd 0.967 0.250 0.910
Se 0.130 0.750 0.849
Se 0.189 0.750 0.528
Se 0.401 0.750 0.196
Se 0.599 0.250 0.804
Se 0.811 0.250 0.472
Se 0.870 0.250 0.151
! Mass density in g cm⁻³: 7.86
! Space-group type: P2_1/m (11)

=====

Q: Which of them is the least stable? A: version Q.

=====

Version P
! PaPdSe, relaxed, DFT PBE; values from VASP
&SYSTEM
  ibrav = 0, nat = 3, ntyp = 3
/
ATOMIC_SPECIES
Pa 231.04 Pa.upf
Pd 106.42 Pd.upf
Se 78.96 Se.upf
CELL_PARAMETERS angstrom
0.000 3.351 3.351
3.351 0.000 3.351
3.351 3.351 0.000
ATOMIC_POSITIONS crystal
Pa 0.000 0.000 0.000
Pd 0.750 0.750 0.750
Se 0.250 0.250 0.250
! Mass density in g cm⁻³: 9.19
! Space-group type: F-43m (216)

=====

Version Q
! PaPdSe, relaxed, DFT PBE; values from VASP
&SYSTEM
  ibrav = 0, nat = 6, ntyp = 3
/
ATOMIC_SPECIES
Pa 231.04 Pa.upf
Pd 106.42 Pd.upf
Se 78.96 Se.upf
CELL_PARAMETERS angstrom
5.837 0.000 0.000
0.000 4.137 0.000
-2.258 0.000 5.973
ATOMIC_POSITIONS crystal
Pa 0.000 0.000 0.000
Pa 0.394 0.500 0.702
Pd 0.092 0.000 0.489
Pd 0.821 0.500 0.199
Se 0.494 0.000 0.049
Se 0.852 0.500 0.646
! Mass density in g cm⁻³: 9.59
! Space-group type: Pm (6)

=====

Q: Which of them is the least stable? A: version P.

=====

Version P
! PaPdSe, relaxed, DFT PBE; values from VASP
&SYSTEM
  ibrav = 0, nat = 3, ntyp = 3
/
ATOMIC_SPECIES
Pa 231.04 Pa.upf
Pd 106.42 Pd.upf
Se 78.96 Se.upf
CELL_PARAMETERS angstrom
4.453 0.000 0.000
-2.227 3.856 0.000
0.000 0.000 3.667
ATOMIC_POSITIONS crystal
Pa 0.000 0.000 0.000
Pd 0.667 0.333 0.352
Se 0.333 0.667 0.539
! Mass density in g cm⁻³: 10.98
! Space-group type: P3m1 (156)

=====

Version Q
! PaPdSe, relaxed, DFT PBE; values from VASP
&SYSTEM
  ibrav = 0, nat = 3, ntyp = 3
/
ATOMIC_SPECIES
Pa 231.04 Pa.upf
Pd 106.42 Pd.upf
Se 78.96 Se.upf
CELL_PARAMETERS angstrom
-1.830 1.830 4.590
1.830 -1.830 4.590
1.830 1.830 -4.590
ATOMIC_POSITIONS crystal
Pa 0.000 0.000 0.000
Pd 0.663 0.663 0.000
Se 0.333 0.333 0.000
! Mass density in g cm⁻³: 11.24
! Space-group type: I4mm (107)

=====

Q: Which of them is the least stable? A: version P.